No. 1
Entry from the Alexandria database: Mn2CrSiBr after structural relaxation (PBE-GGA).

Results
Total energy   -31.59 eV for the cell shown

Cell lengths 4.8295, 4.9092, 4.8295 Å; angles 90.00, 90.00, 90.00 degrees
Last column: nearest neighbours and their distance in Å.
Fractional coordinates of all 5 atoms:
Cr 0.0000 0.5000 0.0000  2 Si 2.45
Si 0.0000 0.0000 0.0000  4 Mn 2.41, 2 Cr 2.45
Mn 0.0000 0.0000 0.5000  2 Si 2.41
Mn 0.5000 0.0000 0.0000  2 Si 2.41
Br 0.5000 0.5000 0.5000  4 Cr 3.41, 8 Mn 3.44

---

No. 2
Entry from the Alexandria database: RbNb2SiBr after structural relaxation (PBE-GGA).

Results
Energy above the most stable polymorph in this dataset   0.000 eV per atom
Total energy   -24.16 eV for the cell shown

Cell lengths 4.8471, 7.9885, 4.8471 Å; angles 90.00, 90.00, 90.00 degrees
Last column: nearest neighbours and their distance in Å.
Fractional coordinates of all 5 atoms:
Nb 0.0000 0.0000 0.5000  2 Si 2.42
Nb 0.5000 0.0000 0.0000  2 Si 2.42
Si 0.0000 0.0000 0.0000  4 Nb 2.42
Br 0.0000 0.5000 0.0000  4 Rb 3.43
Rb 0.5000 0.5000 0.5000  4 Br 3.43

---

No. 3
Entry from the Alexandria database: Sm2ZnPdO5 after structural relaxation (PBE-GGA).

Results
Total energy   -115.62 eV for the cell shown

Cell lengths 5.7204, 6.6803, 6.6803 Å; angles 90.00, 90.00, 90.00 degrees
Last column: nearest neighbours and their distance in Å.
Fractional coordinates of all 18 atoms:
Sm 0.5000 0.6720 0.1720  4 O 2.25-2.47
Sm 0.5000 0.1720 0.3280  4 O 2.25-2.47
Sm 0.5000 0.8280 0.6720  4 O 2.25-2.47
Sm 0.5000 0.3280 0.8280  4 O 2.25-2.47
Zn 0.0000 0.5000 0.5000  10 O 2.86-2.94
Zn 0.0000 0.0000 0.0000  10 O 2.86-2.94
Pd 0.0000 0.0000 0.5000  4 O 1.98
Pd 0.0000 0.5000 0.0000  4 O 1.98
O 0.5000 0.5000 0.5000  4 Sm 2.47
O 0.5000 0.0000 0.0000  4 Sm 2.47
O 0.2515 0.1440 0.6440  1 Pd 1.98
O 0.2515 0.8560 0.3560  1 Pd 1.98
O 0.2515 0.3560 0.1440  1 Pd 1.98
O 0.2515 0.6440 0.8560  1 Pd 1.98
O 0.7485 0.1440 0.6440  1 Pd 1.98
O 0.7485 0.6440 0.8560  1 Pd 1.98
O 0.7485 0.8560 0.3560  1 Pd 1.98
O 0.7485 0.3560 0.1440  1 Pd 1.98

---

Please write out number 3 again, unchanged.
Entry from the Alexandria database: Sm2ZnPdO5 after structural relaxation (PBE-GGA).

Results
Total energy   -115.62 eV for the cell shown

Cell lengths 5.7204, 6.6803, 6.6803 Å; angles 90.00, 90.00, 90.00 degrees
Last column: nearest neighbours and their distance in Å.
Fractional coordinates of all 18 atoms:
Sm 0.5000 0.6720 0.1720  4 O 2.25-2.47
Sm 0.5000 0.1720 0.3280  4 O 2.25-2.47
Sm 0.5000 0.8280 0.6720  4 O 2.25-2.47
Sm 0.5000 0.3280 0.8280  4 O 2.25-2.47
Zn 0.0000 0.5000 0.5000  10 O 2.86-2.94
Zn 0.0000 0.0000 0.0000  10 O 2.86-2.94
Pd 0.0000 0.0000 0.5000  4 O 1.98
Pd 0.0000 0.5000 0.0000  4 O 1.98
O 0.5000 0.5000 0.5000  4 Sm 2.47
O 0.5000 0.0000 0.0000  4 Sm 2.47
O 0.2515 0.1440 0.6440  1 Pd 1.98
O 0.2515 0.8560 0.3560  1 Pd 1.98
O 0.2515 0.3560 0.1440  1 Pd 1.98
O 0.2515 0.6440 0.8560  1 Pd 1.98
O 0.7485 0.1440 0.6440  1 Pd 1.98
O 0.7485 0.6440 0.8560  1 Pd 1.98
O 0.7485 0.8560 0.3560  1 Pd 1.98
O 0.7485 0.3560 0.1440  1 Pd 1.98